YHo6Th4 | PBE-GGA | relaxed

abc: 18.1405 18.1405 18.1405
angles: 169.18 161.50 21.48
Atoms (fractional coordinates):
Y1 0.0000 0.0000 0.0000
Ho1 0.0957 0.5957 0.5000
Ho2 0.2671 0.7671 0.5000
Ho3 0.3687 0.8687 0.5000
Ho4 0.6313 0.1313 0.5000
Ho5 0.7329 0.2329 0.5000
Ho6 0.9043 0.4043 0.5000
Th1 0.1820 0.1820 0.0000
Th2 0.4559 0.4559 0.0000
Th3 0.5441 0.5441 0.0000
Th4 0.8180 0.8180 0.0000

Excess energy over the best structure of this formula in the dataset, meV per atom: 0
Space group: Immm
Magnetization, μB per cell: 0.0
E_form, eV/atom: 0.1608
Total energy, eV/atom: -5.6220
Crystal system: orthorhombic



Y5Ho4Th | PBE-GGA | relaxed

abc: 8.5534 8.5534 11.4299
angles: 108.32 108.32 23.82
Atoms (fractional coordinates):
Y1 0.0000 0.0000 0.0000
Y2 0.2947 0.2947 0.3844
Y3 0.3089 0.3089 0.9186
Y4 0.6911 0.6911 0.0814
Y5 0.7053 0.7053 0.6156
Ho1 0.1050 0.1050 0.7991
Ho2 0.4159 0.4159 0.7035
Ho3 0.5841 0.5841 0.2965
Ho4 0.8950 0.8950 0.2009
Th1 0.0000 0.0000 0.5000

Excess energy over the best structure of this formula in the dataset, meV per atom: 16
Space group: C2/m
Magnetization, μB per cell: 0.0
E_form, eV/atom: 0.0329
Total energy, eV/atom: -5.7723
Crystal system: monoclinic



Y5Ho3Th3 | PBE-GGA | relaxed

abc: 11.1784 11.1784 3.4305
angles: 90.00 90.00 120.00
Atoms (fractional coordinates):
Y1 0.0000 0.6592 0.0000
Y2 0.3333 0.6667 0.0000
Y3 0.3408 0.3408 0.0000
Y4 0.6592 0.0000 0.0000
Y5 0.6667 0.3333 0.0000
Ho1 0.0000 0.1603 0.0000
Ho2 0.1603 0.0000 0.0000
Ho3 0.8397 0.8397 0.0000
Th1 0.0000 0.4021 0.5000
Th2 0.4021 0.0000 0.5000
Th3 0.5979 0.5979 0.5000

Excess energy over the best structure of this formula in the dataset, meV per atom: 0
Space group: P-62m
Magnetization, μB per cell: 0.0
E_form, eV/atom: 0.3857
Total energy, eV/atom: -5.8246
Crystal system: hexagonal



Y2HoTh | PBE-GGA | relaxed

abc: 3.5495 6.7823 11.1019
angles: 90.70 90.02 105.09
Atoms (fractional coordinates):
Y1 0.0193 0.0381 0.2452
Y2 0.2462 0.4911 0.7461
Y3 0.7538 0.5089 0.2539
Y4 0.9807 0.9619 0.7548
Ho1 0.3688 0.7383 0.0146
Ho2 0.6312 0.2617 0.9854
Th1 0.3718 0.7457 0.4856
Th2 0.6282 0.2543 0.5144

Excess energy over the best structure of this formula in the dataset, meV per atom: 12
Space group: P-1
Magnetization, μB per cell: 0.0
E_form, eV/atom: 0.0391
Total energy, eV/atom: -6.1923
Crystal system: triclinic



Y3HoTh5 | PBE-GGA | relaxed

abc: 9.6393 9.6393 9.6393
angles: 122.64 122.64 85.48
Atoms (fractional coordinates):
Y1 0.1036 0.6036 0.7072
Y2 0.2500 0.2500 0.0000
Y3 0.3964 0.1036 0.5000
Y4 0.6036 0.8964 0.5000
Y5 0.7500 0.7500 0.0000
Y6 0.8964 0.3964 0.2928
Ho1 0.2500 0.7500 0.5000
Ho2 0.7500 0.2500 0.5000
Th1 0.0000 0.0000 0.0000
Th2 0.0814 0.1637 0.5000
Th3 0.1637 0.6637 0.0824
Th4 0.3363 0.4186 0.5000
Th5 0.4186 0.9186 0.0824
Th6 0.5000 0.5000 0.0000
Th7 0.5814 0.0814 0.9176
Th8 0.6637 0.5814 0.5000
Th9 0.8363 0.3363 0.9176
Th10 0.9186 0.8363 0.5000

Space group: I4/mcm
Magnetization, μB per cell: 0.0
E_form, eV/atom: 0.4666
Total energy, eV/atom: -6.3189
Crystal system: tetragonal



Y7Ho2Th2 | PBE-GGA | relaxed

abc: 5.6015 6.9226 9.4638
angles: 90.00 90.00 90.00
Atoms (fractional coordinates):
Y1 0.0000 0.0000 0.0000
Y2 0.0000 0.5000 0.1698
Y3 0.0000 0.5000 0.8302
Y4 0.5000 0.0000 0.3091
Y5 0.5000 0.0000 0.6909
Y6 0.5000 0.5000 0.3399
Y7 0.5000 0.5000 0.6601
Ho1 0.0000 0.2537 0.5000
Ho2 0.0000 0.7463 0.5000
Th1 0.5000 0.2748 0.0000
Th2 0.5000 0.7252 0.0000

Excess energy over the best structure of this formula in the dataset, meV per atom: 0
Space group: Pmmm
Magnetization, μB per cell: 0.0
E_form, eV/atom: 0.1670
Total energy, eV/atom: -6.1278
Crystal system: orthorhombic